Record 1
The following is a PBE-GGA calculation of La3PrSmDy after structural relaxation, from the Alexandria database.

Properties
* final energy: -111.95 eV for the cell shown
* DOS at the Fermi energy: 33.05 states/eV per cell
* formation energy: 3.446 kcal/mol of atoms

Unit cell a=21.0518 b=5.9202 c=6.8745 alpha=90.00 beta=90.78 gamma=90.00
Space group C2/m (No. 12)
Asymmetric unit:
La  0.0165  0.0000  0.2528 [4 per cell]
La  0.1591  0.5000  0.2575 [4 per cell]
La  0.2196  0.5000  0.7741 [4 per cell]
Pr  0.1476  0.0000  0.5257 [4 per cell]
Sm  0.0591  0.5000  0.7647 [4 per cell]
Dy  0.1416  0.0000  0.9813 [4 per cell]

***

Record 2
The following is a PBE-GGA calculation of La6PrSmDy2 after structural relaxation, from the Alexandria database.

Properties
* final energy: -92.83 eV for the cell shown
* DOS at the Fermi energy: 39.04 states/eV per cell
* formation energy: 4.273 kcal/mol of atoms

Unit cell a=11.3559 b=7.2580 c=8.9906 alpha=90.00 beta=103.10 gamma=90.00
Space group C2/m (No. 12)
Asymmetric unit:
La  0.1386  0.0000  0.4372 [4 per cell]
La  0.1782  0.2776  0.8000 [8 per cell]
Pr  0.0000  0.0000  0.0000 [2 per cell]
Sm  0.0000  0.5000  0.5000 [2 per cell]
Dy  0.0923  0.5000  0.1606 [4 per cell]

***

Record 3
The following is a PBE-GGA calculation of LaPr2Sm4Dy after structural relaxation, from the Alexandria database.

Properties
* final energy: -37.83 eV for the cell shown
* DOS at the Fermi energy: 12.82 states/eV per cell
* formation energy: 0.403 kcal/mol of atoms

Unit cell a=6.3122 b=3.6661 c=12.1397 alpha=90.00 beta=100.32 gamma=90.00
Space group P2/m (No. 10)
Asymmetric unit:
La  0.0000  0.0000  0.0000 [1 per cell]
Pr  0.5000  0.0000  0.5000 [1 per cell]
Pr  0.5000  0.5000  0.0000 [1 per cell]
Sm  0.2492  0.0000  0.7470 [2 per cell]
Sm  0.2489  0.5000  0.2526 [2 per cell]
Dy  0.0000  0.5000  0.5000 [1 per cell]

***

Record 4
The following is a PBE-GGA calculation of LaPr2Sm6Dy3 after structural relaxation, from the Alexandria database.

Properties
* final energy: -112.76 eV for the cell shown
* DOS at the Fermi energy: 35.78 states/eV per cell
* formation energy: 0.433 kcal/mol of atoms

Unit cell a=6.2971 b=10.9106 c=12.0487 alpha=90.00 beta=100.06 gamma=90.00
Space group C2/m (No. 12)
Asymmetric unit:
La  0.0000  0.0000  0.0000 [2 per cell]
Pr  0.0000  0.3335  0.0000 [4 per cell]
Sm  0.2483  0.0000  0.7445 [4 per cell]
Sm  0.2480  0.3332  0.7447 [8 per cell]
Dy  0.0000  0.1668  0.5000 [4 per cell]
Dy  0.0000  0.5000  0.5000 [2 per cell]

***

Record 5
The following is a PBE-GGA calculation of La2Pr6Sm3Dy after structural relaxation, from the Alexandria database.

Properties
* final energy: -114.21 eV for the cell shown
* DOS at the Fermi energy: 38.67 states/eV per cell
* formation energy: 0.358 kcal/mol of atoms

Unit cell a=6.3915 b=11.0716 c=12.2094 alpha=90.00 beta=100.14 gamma=90.00
Space group C2/m (No. 12)
Asymmetric unit:
La  0.0000  0.1669  0.0000 [4 per cell]
Pr  0.2482  0.5000  0.7479 [4 per cell]
Pr  0.2502  0.1658  0.7481 [8 per cell]
Sm  0.0000  0.0000  0.5000 [2 per cell]
Sm  0.0000  0.3337  0.5000 [4 per cell]
Dy  0.0000  0.5000  0.0000 [2 per cell]

***

Record 6
The following is a PBE-GGA calculation of La2PrSmDy after structural relaxation, from the Alexandria database.

Properties
* final energy: -45.45 eV for the cell shown
* DOS at the Fermi energy: 14.84 states/eV per cell
* formation energy: 5.674 kcal/mol of atoms

Unit cell a=6.3353 b=8.0092 c=7.0661 alpha=90.00 beta=90.00 gamma=90.00
Space group Pmma (No. 51)
Asymmetric unit:
La  0.2500  0.1973  0.1902 [4 per cell]
Pr  0.0000  0.5000  0.5000 [2 per cell]
Sm  0.2500  0.5000  0.9108 [2 per cell]
Dy  0.2500  0.0000  0.6489 [2 per cell]

***

Record 7
The following is a PBE-GGA calculation of La5PrSmDy2 after structural relaxation, from the Alexandria database.

Properties
* final energy: -81.97 eV for the cell shown
* DOS at the Fermi energy: 29.34 states/eV per cell
* formation energy: 6.039 kcal/mol of atoms

Unit cell a=8.0973 b=8.0973 c=10.0631 alpha=90.00 beta=90.00 gamma=90.00
Space group P4/mbm (No. 127)
Asymmetric unit:
La  0.0000  0.0000  0.0000 [2 per cell]
La  0.2014  0.2986  0.2608 [8 per cell]
Pr  0.0000  0.0000  0.5000 [2 per cell]
Sm  0.0000  0.5000  0.5000 [2 per cell]
Dy  0.1291  0.6291  0.0000 [4 per cell]

***

Record 8
The following is a PBE-GGA calculation of La3Pr2SmDy6 after structural relaxation, from the Alexandria database.

Properties
* final energy: -113.05 eV for the cell shown
* DOS at the Fermi energy: 28.57 states/eV per cell
* formation energy: 0.283 kcal/mol of atoms

Unit cell a=6.3096 b=10.9306 c=11.8928 alpha=90.00 beta=100.17 gamma=90.00
Space group C2/m (No. 12)
Asymmetric unit:
La  0.0000  0.0000  0.0000 [2 per cell]
La  0.0000  0.3332  0.0000 [4 per cell]
Pr  0.0000  0.1665  0.5000 [4 per cell]
Sm  0.0000  0.5000  0.5000 [2 per cell]
Dy  0.2490  0.3335  0.7481 [8 per cell]
Dy  0.2497  0.0000  0.7483 [4 per cell]

***

Record 9
The following is a PBE-GGA calculation of LaPr2SmDy after structural relaxation, from the Alexandria database.

Properties
* final energy: -45.02 eV for the cell shown
* DOS at the Fermi energy: 14.10 states/eV per cell
* formation energy: 5.975 kcal/mol of atoms

Unit cell a=8.5665 b=6.6380 c=6.3671 alpha=90.00 beta=95.44 gamma=90.00
Space group P2/c (No. 13)
Asymmetric unit:
La  0.0000  0.0000  0.0000 [2 per cell]
Pr  0.3109  0.3099  0.2182 [4 per cell]
Sm  0.0000  0.4347  0.7500 [2 per cell]
Dy  0.5000  0.1649  0.7500 [2 per cell]

***

Record 10
The following is a PBE-GGA calculation of LaPrSm3Dy after structural relaxation, from the Alexandria database.

Properties
* final energy: -109.89 eV for the cell shown
* DOS at the Fermi energy: 35.18 states/eV per cell
* formation energy: 3.819 kcal/mol of atoms

Unit cell a=20.4548 b=5.7938 c=7.0065 alpha=90.00 beta=90.71 gamma=90.00
Space group C2/m (No. 12)
Asymmetric unit:
La  0.1461  0.0000  0.0266 [4 per cell]
Pr  0.0548  0.5000  0.2621 [4 per cell]
Sm  0.0202  0.0000  0.7443 [4 per cell]
Sm  0.1639  0.5000  0.7349 [4 per cell]
Sm  0.2197  0.5000  0.2498 [4 per cell]
Dy  0.1473  0.0000  0.4684 [4 per cell]

***

Record 11
The following is a PBE-GGA calculation of La2PrSm6Dy after structural relaxation, from the Alexandria database.

Properties
* final energy: -185.69 eV for the cell shown
* DOS at the Fermi energy: 60.37 states/eV per cell
* formation energy: 2.603 kcal/mol of atoms

Unit cell a=9.1891 b=15.2338 c=10.0664 alpha=90.00 beta=99.88 gamma=90.00
Space group C2/c (No. 15)
Asymmetric unit:
La  0.2416  0.0482  0.0413 [8 per cell]
Pr  0.0000  0.0121  0.7500 [4 per cell]
Sm  0.0722  0.1916  0.4438 [8 per cell]
Sm  0.0965  0.3957  0.6197 [8 per cell]
Sm  0.2022  0.2208  0.8112 [8 per cell]
Dy  0.0000  0.4055  0.2500 [4 per cell]

***

Record 12
The following is a PBE-GGA calculation of LaPr2Sm2Dy after structural relaxation, from the Alexandria database.

Properties
* final energy: -56.41 eV for the cell shown
* DOS at the Fermi energy: 17.82 states/eV per cell
* formation energy: 1.245 kcal/mol of atoms

Unit cell a=7.1484 b=5.8050 c=10.0328 alpha=90.00 beta=90.00 gamma=90.00
Space group Pmma (No. 51)
Asymmetric unit:
La  0.0000  0.0000  0.0000 [2 per cell]
Pr  0.0000  0.5000  0.5000 [2 per cell]
Pr  0.2500  0.0000  0.3307 [2 per cell]
Sm  0.2500  0.0000  0.6656 [2 per cell]
Sm  0.2500  0.5000  0.1683 [2 per cell]
Dy  0.2500  0.5000  0.8346 [2 per cell]

***

Record 13
The following is a PBE-GGA calculation of LaPr5Sm2Dy after structural relaxation, from the Alexandria database.

Properties
* final energy: -161.77 eV for the cell shown
* DOS at the Fermi energy: 59.47 states/eV per cell
* formation energy: 6.207 kcal/mol of atoms

Unit cell a=9.0920 b=9.0920 c=15.6023 alpha=90.00 beta=90.00 gamma=90.00
Space group I4/mcm (No. 140)
Asymmetric unit:
La  0.0000  0.0000  0.2500 [4 per cell]
Pr  0.0000  0.0000  0.0000 [4 per cell]
Pr  0.2063  0.2937  0.1366 [16 per cell]
Sm  0.1149  0.3851  0.5000 [8 per cell]
Dy  0.0000  0.5000  0.2500 [4 per cell]

***

Record 14
The following is a PBE-GGA calculation of SrLaPrDy after structural relaxation, from the Alexandria database.

Properties
* final energy: -60.82 eV for the cell shown
* DOS at the Fermi energy: 25.66 states/eV per cell
* formation energy: 4.524 kcal/mol of atoms

Unit cell a=8.5061 b=8.5061 c=8.5061 alpha=90.00 beta=90.00 gamma=90.00
Space group F-43m (No. 216)
Asymmetric unit:
Sr  0.0000  0.0000  0.0000 [4 per cell]
La  0.2500  0.2500  0.2500 [4 per cell]
Pr  0.2500  0.2500  0.7500 [4 per cell]
Dy  0.0000  0.0000  0.5000 [4 per cell]

***

Record 15
The following is a PBE-GGA calculation of La6TbPr2Dy after structural relaxation, from the Alexandria database.

Properties
* final energy: -189.01 eV for the cell shown
* DOS at the Fermi energy: 50.85 states/eV per cell
* formation energy: 2.544 kcal/mol of atoms

Unit cell a=9.9129 b=15.4433 c=9.3167 alpha=90.00 beta=90.22 gamma=90.00
Space group C2/c (No. 15)
Asymmetric unit:
La  0.0740  0.1468  0.0936 [8 per cell]
La  0.0738  0.3511  0.9079 [8 per cell]
La  0.2487  0.2818  0.3188 [8 per cell]
Tb  0.0000  0.4323  0.2500 [4 per cell]
Pr  0.2501  0.0446  0.4374 [8 per cell]
Dy  0.0000  0.0694  0.7500 [4 per cell]

***

Record 16
The following is a PBE-GGA calculation of LaTbPr6Dy2 after structural relaxation, from the Alexandria database.

Properties
* final energy: -185.32 eV for the cell shown
* DOS at the Fermi energy: 59.86 states/eV per cell
* formation energy: 2.557 kcal/mol of atoms

Unit cell a=9.3555 b=15.4610 c=9.8659 alpha=90.00 beta=98.31 gamma=90.00
Space group C2/c (No. 15)
Asymmetric unit:
La  0.0000  0.0937  0.2500 [4 per cell]
Tb  0.0000  0.4706  0.7500 [4 per cell]
Pr  0.0648  0.3249  0.4449 [8 per cell]
Pr  0.0978  0.1067  0.6204 [8 per cell]
Pr  0.2080  0.2753  0.8162 [8 per cell]
Dy  0.2419  0.4522  0.0462 [8 per cell]

***

Record 17
The following is a PBE-GGA calculation of LaTbPr2Dy5 after structural relaxation, from the Alexandria database.

Properties
* final energy: -159.34 eV for the cell shown
* DOS at the Fermi energy: 40.47 states/eV per cell
* formation energy: 5.872 kcal/mol of atoms

Unit cell a=8.7716 b=8.7716 c=15.7197 alpha=90.00 beta=90.00 gamma=90.00
Space group I4/mcm (No. 140)
Asymmetric unit:
La  0.0000  0.0000  0.2500 [4 per cell]
Tb  0.0000  0.5000  0.2500 [4 per cell]
Pr  0.1180  0.3820  0.0000 [8 per cell]
Dy  0.0000  0.0000  0.0000 [4 per cell]
Dy  0.2098  0.2902  0.3623 [16 per cell]

***

Record 18
The following is a PBE-GGA calculation of LaTbPr5Dy2 after structural relaxation, from the Alexandria database.

Properties
* final energy: -160.69 eV for the cell shown
* DOS at the Fermi energy: 56.51 states/eV per cell
* formation energy: 6.369 kcal/mol of atoms

Unit cell a=9.4750 b=9.4750 c=14.3734 alpha=90.00 beta=90.00 gamma=90.00
Space group I4/mcm (No. 140)
Asymmetric unit:
La  0.0000  0.0000  0.2500 [4 per cell]
Tb  0.0000  0.5000  0.2500 [4 per cell]
Pr  0.0000  0.0000  0.0000 [4 per cell]
Pr  0.2021  0.2979  0.1315 [16 per cell]
Dy  0.1089  0.3911  0.5000 [8 per cell]

***

Record 19
The following is a PBE-GGA calculation of La2Tb3Pr6Dy after structural relaxation, from the Alexandria database.

Properties
* final energy: -113.66 eV for the cell shown
* DOS at the Fermi energy: 35.27 states/eV per cell
* formation energy: 0.377 kcal/mol of atoms

Unit cell a=6.3665 b=11.0324 c=12.1158 alpha=90.00 beta=100.13 gamma=90.00
Space group C2/m (No. 12)
Asymmetric unit:
La  0.0000  0.1667  0.0000 [4 per cell]
Tb  0.0000  0.0000  0.5000 [2 per cell]
Tb  0.0000  0.3337  0.5000 [4 per cell]
Pr  0.2477  0.5000  0.7459 [4 per cell]
Pr  0.2495  0.1659  0.7462 [8 per cell]
Dy  0.0000  0.5000  0.0000 [2 per cell]